Compound: Ac3TlSi2
Source: Alexandria
Functional: GGA-PBE
Structure: optimized geometry

a = 8.4670 Å, b = 8.4670 Å, c = 8.4670 Å
α = 58.88°, β = 58.88°, γ = 58.88°
Positions (direct):
Ac: 0.0444 0.7500 0.4556
Ac: 0.2500 0.5444 0.9556
Ac: 0.4556 0.0444 0.7500
Ac: 0.5444 0.9556 0.2500
Ac: 0.7500 0.4556 0.0444
Ac: 0.9556 0.2500 0.5444
Tl: 0.0000 0.0000 0.0000
Tl: 0.5000 0.5000 0.5000
Si: 0.1500 0.1500 0.1500
Si: 0.3500 0.3500 0.3500
Si: 0.6500 0.6500 0.6500
Si: 0.8500 0.8500 0.8500

Electronic total energy = -4.591 eV per atom
Raw formation energy = -2.0 eV per formula unit
Spin magnetization = 0.00 μB per formula unit

---

Compound: AcTlSi
Source: Alexandria
Functional: GGA-PBE
Structure: optimized geometry

a = 6.4592 Å, b = 6.4592 Å, c = 6.4592 Å
α = 145.90°, β = 145.90°, γ = 49.00°
Positions (direct):
Ac: 0.0000 0.0000 0.0000
Tl: 0.7042 0.7042 0.0000
Si: 0.3246 0.3246 0.0000

Electronic total energy = -4.014 eV per atom
Excess energy over the best structure of this formula in the dataset = 389 meV/atom
Raw formation energy = -0.1 eV per formula unit
Spin magnetization = 0.00 μB per formula unit

---

Compound: Ac4Tl5Si2
Source: Alexandria
Functional: GGA-PBE
Structure: optimized geometry

a = 8.0979 Å, b = 4.6702 Å, c = 9.2469 Å
α = 90.00°, β = 92.10°, γ = 90.00°
Positions (direct):
Ac: 0.2025 0.0000 0.3554
Ac: 0.2302 0.0000 0.9051
Ac: 0.7698 0.0000 0.0949
Ac: 0.7975 0.0000 0.6446
Tl: 0.1340 0.5000 0.6327
Tl: 0.4405 0.5000 0.1587
Tl: 0.5000 0.5000 0.5000
Tl: 0.5595 0.5000 0.8413
Tl: 0.8660 0.5000 0.3673
Si: 0.0732 0.5000 0.1163
Si: 0.9268 0.5000 0.8837

Electronic total energy = -3.931 eV per atom
Raw formation energy = -4.1 eV per formula unit
Spin magnetization = 0.00 μB per formula unit